Entry from the Alexandria database: an optimized crystal structure of YAgRu2 (PBE).

The relative energy among the computed polymorphs comes out at 32.2 kJ per mole of atoms. As for the raw total energy: -6.51 eV per atom. The value obtained for the total magnetization is 0.00 μB/atom. For the formation energy, the calculation gives 452 meV/atom.

Unit cell a=2.9295 b=2.9295 c=28.8356 alpha=90.00 beta=90.00 gamma=120.00
Last column: nearest neighbours and their distance in Å.
Space group R3m (No. 160, hexagonal axes)
Symmetry-distinct sites (fractional):
Y: 0.0000 0.0000 0.0000  6 Y 2.93, 3 Ru 3.08, 3 Ag 3.18
Ag: 0.0000 0.0000 0.2399  6 Ag 2.93, 3 Ru 2.93, 3 Y 3.18
Ru: 0.0000 0.0000 0.4903  3 Ru 2.58
Ru: 0.0000 0.0000 0.7560  3 Ru 2.58